This record from Alexandria describes an optimized crystal structure of Mn2CuRh. The functional is PBE.

Lattice parameters (Å, degrees): 4.7300 4.7300 4.7300 133.67 133.52 67.72
Last column: nearest neighbours and their distance in Å.
Fractional positions:
Cu (0.2499, 0.7499, 0.5000)  8 Mn 2.64-2.71, 4 Rh 2.71
Mn (0.7499, 0.2499, 0.5000)  4 Cu 2.64, 4 Rh 2.70-2.71, 4 Mn 2.71
Mn (0.0001, 0.0001, 0.0000)  4 Rh 2.64, 4 Cu 2.70-2.71, 4 Mn 2.71
Rh (0.5000, 0.5000, 0.0000)  8 Mn 2.64-2.71, 4 Cu 2.71

Output
The density of states at the Fermi level comes out at 1.016 states/eV/atom. As for the total energy: -29.500 eV/cell. The value obtained for the volume is 54.6 Å³/f.u. Its formation energy is 0.07 eV/atom. Its space group is Imm2.

---

This record from Alexandria describes an optimized crystal structure of Sm6PtS5. The functional is PBE.

Lattice parameters (Å, degrees): 7.0050 7.0050 6.9995 99.65 99.65 119.89
Last column: nearest neighbours and their distance in Å.
Fractional positions:
Sm (0.9180, 0.5810, 0.7502)  5 S 2.83-2.87, 1 Pt 2.87
Sm (0.4190, 0.0820, 0.2498)  5 S 2.83-2.87, 1 Pt 2.87
Sm (0.0820, 0.4190, 0.2498)  5 S 2.83-2.87, 1 Pt 2.87
Sm (0.7476, 0.7476, 0.2523)  5 S 2.84-2.87, 1 Pt 2.89
Sm (0.2524, 0.2524, 0.7477)  5 S 2.84-2.87, 1 Pt 2.89
Sm (0.5810, 0.9180, 0.7502)  5 S 2.83-2.87, 1 Pt 2.87
S (0.1683, 0.8317, 0.5000)  6 Sm 2.83-2.87
S (0.8317, 0.1683, 0.5000)  6 Sm 2.83-2.87
S (0.5000, 0.5000, 0.5000)  6 Sm 2.84-2.87
S (0.6659, 0.3341, 0.0000)  6 Sm 2.85-2.86
S (0.3341, 0.6659, 0.0000)  6 Sm 2.85-2.86
Pt (0.0000, 0.0000, 0.0000)  6 Sm 2.87-2.89

Output
The density of states at the Fermi level comes out at 0.357 states/eV/atom. As for the total energy: -77.573 eV/cell. The value obtained for the volume is 280.6 Å³/f.u. The formation energy from raw total energies is -22.580 eV/f.u. Its space group is C2/m.

---

This record from Alexandria describes an optimized crystal structure of CaHgW2. The functional is PBE.

Lattice parameters (Å, degrees): 2.9580 2.9580 9.7252 90.00 90.00 110.01
Last column: nearest neighbours and their distance in Å.
Fractional positions:
Ca (0.0000, 0.0000, 0.4919)  4 Ca 2.96, 2 W 3.12, 2 Hg 3.14
W (0.0000, 0.0000, 0.0214)  2 W 2.59
W (0.5000, 0.5000, 0.2227)  2 W 2.59
Hg (0.5000, 0.5000, 0.7640)  4 Hg 2.96, 2 W 3.02, 2 Ca 3.14

Output
The density of states at the Fermi level comes out at 0.769 states/eV/atom. As for the total energy: -26.102 eV/cell. The value obtained for the volume is 80.0 Å³/f.u. Its formation energy is 0.53 eV/atom. Its space group is Cmm2.

---

This record from Alexandria describes an optimized crystal structure of Ho4CrGa12. The functional is PBE.

Lattice parameters (Å, degrees): 7.4506 7.4506 7.4506 109.47 109.47 109.47
Last column: nearest neighbours and their distance in Å.
Fractional positions:
Ga (0.5000, 0.7500, 0.2500)  8 Ga 2.82-3.04, 4 Ho 3.04
Ga (0.5000, 0.2500, 0.7500)  8 Ga 2.82-3.04, 4 Ho 3.04
Ga (0.2881, 0.0000, 0.2881)  1 Cr 2.48
Ga (0.0000, 0.2881, 0.2881)  1 Cr 2.48
Ga (0.7500, 0.2500, 0.5000)  8 Ga 2.82-3.04, 4 Ho 3.04
Ga (0.2881, 0.2881, 0.0000)  1 Cr 2.48
Ga (0.0000, 0.7119, 0.7119)  1 Cr 2.48
Ga (0.7500, 0.5000, 0.2500)  8 Ga 2.82-3.04, 4 Ho 3.04
Ga (0.2500, 0.7500, 0.5000)  8 Ga 2.82-3.04, 4 Ho 3.04
Ga (0.7119, 0.0000, 0.7119)  1 Cr 2.48
Ga (0.7119, 0.7119, 0.0000)  1 Cr 2.48
Ga (0.2500, 0.5000, 0.7500)  8 Ga 2.82-3.04, 4 Ho 3.04
Ho (0.5000, 0.5000, 0.5000)  12 Ga 3.04-3.06
Ho (0.0000, 0.5000, 0.0000)  12 Ga 3.04-3.06
Ho (0.5000, 0.0000, 0.0000)  12 Ga 3.04-3.06
Ho (0.0000, 0.0000, 0.5000)  12 Ga 3.04-3.06
Cr (0.0000, 0.0000, 0.0000)  6 Ga 2.48

Output
The density of states at the Fermi level comes out at 0.538 states/eV/atom. As for the total energy: -72.662 eV/cell. The value obtained for the volume is 318.4 Å³/f.u. Its formation energy is -0.49 eV/atom. Its space group is Im-3m.

---

This record from Alexandria describes an optimized crystal structure of K2SbRu. The functional is PBE.

Lattice parameters (Å, degrees): 12.7804 12.7804 9.3785 47.05 47.05 90.00
Last column: nearest neighbours and their distance in Å.
Fractional positions:
Ru (0.5000, 0.5000, 0.0000)  2 Sb 2.51
Ru (0.2500, 0.7500, 0.5000)  2 Sb 2.51
K (0.3742, 0.1250, 0.2500)  2 Ru 3.26
K (0.3758, 0.6250, 0.2500)  2 Ru 3.26
K (0.3750, 0.6258, 0.7500)  2 Ru 3.26
K (0.8750, 0.6242, 0.7500)  2 Ru 3.26
Sb (0.0000, 0.0000, 0.0000)  2 Ru 2.51
Sb (0.7500, 0.2500, 0.5000)  2 Ru 2.51

Output
The density of states at the Fermi level comes out at 0.825 states/eV/atom. As for the total energy: -28.350 eV/cell. The value obtained for the volume is 204.8 Å³/f.u. The formation energy from raw total energies is 1.418 eV/f.u. Its space group is I-42d.

---

This record from Alexandria describes an optimized crystal structure of SrCa2Hg2Au2. The functional is PBE.

Lattice parameters (Å, degrees): 4.9302 4.9302 9.9859 75.71 75.71 60.00
Last column: nearest neighbours and their distance in Å.
Fractional positions:
Ca (0.8752, 0.8752, 0.3745)  3 Hg 3.15, 3 Au 3.20
Ca (0.1248, 0.1248, 0.6255)  3 Hg 3.15, 3 Au 3.20
Hg (0.2555, 0.2555, 0.2334)  3 Au 2.85, 3 Ca 3.15
Hg (0.7445, 0.7445, 0.7666)  3 Au 2.85, 3 Ca 3.15
Au (0.4073, 0.4073, 0.7782)  3 Hg 2.85
Au (0.5927, 0.5927, 0.2218)  3 Hg 2.85
Sr (0.0000, 0.0000, 0.0000)  6 Au 3.55, 2 Ca 3.58, 6 Hg 3.62

Output
The density of states at the Fermi level comes out at 0.619 states/eV/atom. As for the total energy: -16.415 eV/cell. The value obtained for the volume is 201.5 Å³/f.u. Its formation energy is -0.51 eV/atom. Its space group is R-3m.

---

This record from Alexandria describes an optimized crystal structure of Zr2MoRh. The functional is PBE.

Lattice parameters (Å, degrees): 3.1263 3.5283 6.7115 90.00 90.00 90.00
Last column: nearest neighbours and their distance in Å.
Fractional positions:
Mo (0.0000, 0.0000, 0.5156)  4 Rh 2.79, 5 Zr 2.88-3.11
Zr (0.5000, 0.5000, 0.2684)  4 Mo 2.88, 6 Zr 3.06-3.13, 1 Rh 3.15
Zr (0.0000, 0.0000, 0.9784)  4 Rh 2.86, 6 Zr 3.06-3.13, 1 Mo 3.11
Rh (0.5000, 0.5000, 0.7376)  4 Mo 2.79, 4 Zr 2.86

Output
The density of states at the Fermi level comes out at 1.084 states/eV/atom. As for the total energy: -35.609 eV/cell. The value obtained for the volume is 74.0 Å³/f.u. Its formation energy is -0.08 eV/atom. Its space group is Pmm2.

---

This record from Alexandria describes an optimized crystal structure of HgTeBr2. The functional is PBE.

Lattice parameters (Å, degrees): 8.0574 8.0574 8.0574 152.09 147.51 43.35
Last column: nearest neighbours and their distance in Å.
Fractional positions:
Br (0.9876, 0.9876, 0.0000)  4 Hg 3.14
Br (0.2445, 0.7445, 0.5000)  4 Te 3.01
Hg (0.5553, 0.5553, 0.0000)  2 Te 3.05, 4 Br 3.14
Te (0.7126, 0.2126, 0.5000)  4 Br 3.01, 2 Hg 3.05

Output
The density of states at the Fermi level comes out at 0.274 states/eV/atom. As for the total energy: -6.894 eV/cell. The energy above the most stable polymorph in this dataset comes out at 0.736 eV/f.u. The value obtained for the volume is 131.2 Å³/f.u. The formation energy from raw total energies is -0.105 eV/f.u. Its space group is Imm2.

---

This record from Alexandria describes an optimized crystal structure of Dy2Ag. The functional is PBE.

Lattice parameters (Å, degrees): 3.6153 3.6153 12.2633 90.00 90.00 90.00
Last column: nearest neighbours and their distance in Å.
Fractional positions:
Dy (0.5000, 0.5000, 0.2985)  4 Ag 3.14
Dy (0.0000, 0.0000, 0.5000)  12 Dy 3.56-3.62
Dy (0.5000, 0.5000, 0.0000)  8 Ag 3.15
Dy (0.5000, 0.5000, 0.7015)  4 Ag 3.14
Ag (0.0000, 0.0000, 0.8505)  8 Dy 3.14-3.15
Ag (0.0000, 0.0000, 0.1495)  8 Dy 3.14-3.15

Output
The density of states at the Fermi level comes out at 0.878 states/eV/atom. As for the total energy: -25.304 eV/cell. The value obtained for the volume is 80.1 Å³/f.u. Its formation energy is -0.20 eV/atom. Its space group is P4/mmm.

---

This record from Alexandria describes an optimized crystal structure of Y2TlHRh. The functional is PBE.

Lattice parameters (Å, degrees): 5.1668 5.1668 3.6587 90.00 90.00 90.00
Last column: nearest neighbours and their distance in Å.
Fractional positions:
Rh (0.0000, 0.0000, 0.5000)  2 H 1.83
Y (0.0000, 0.5000, 0.0000)  2 H 2.58
Y (0.5000, 0.0000, 0.0000)  2 H 2.58
H (0.0000, 0.0000, 0.0000)  2 Rh 1.83
Tl (0.5000, 0.5000, 0.5000)  8 Y 3.17

Output
The density of states at the Fermi level comes out at 0.500 states/eV/atom. As for the total energy: -28.665 eV/cell. The value obtained for the volume is 97.7 Å³/f.u. Its space group is P4/mmm.

---

This record from Alexandria describes an optimized crystal structure of KSc2Ir. The functional is PBE.

Lattice parameters (Å, degrees): 7.7931 7.7931 8.1008 61.25 61.25 90.00
Last column: nearest neighbours and their distance in Å.
Fractional positions:
Sc (0.8851, 0.6250, 0.2500)  2 Ir 2.45
Sc (0.8649, 0.1250, 0.2500)  2 Ir 2.45
Sc (0.3750, 0.1351, 0.7500)  2 Ir 2.45
Sc (0.8750, 0.1149, 0.7500)  2 Ir 2.45
Ir (0.7500, 0.2500, 0.5000)  4 Sc 2.45
Ir (0.0000, 0.0000, 0.0000)  4 Sc 2.45
K (0.5000, 0.5000, 0.0000)  12 Sc 4.54-4.86, 4 K 4.90, 4 Ir 4.90
K (0.2500, 0.7500, 0.5000)  12 Sc 4.54-4.86, 4 K 4.90, 4 Ir 4.90

Output
The density of states at the Fermi level comes out at 0.007 states/eV/atom. As for the total energy: -42.764 eV/cell. The energy above the most stable polymorph in this dataset comes out at 2.319 eV/f.u. The value obtained for the volume is 180.3 Å³/f.u. Its formation energy is 0.31 eV/atom. Its space group is I-42d.

---

This record from Alexandria describes an optimized crystal structure of Rb4HgH. The functional is PBE.

Lattice parameters (Å, degrees): 5.9121 9.2842 11.4986 90.00 90.00 90.00
Last column: nearest neighbours and their distance in Å.
Fractional positions:
Rb (0.3956, 0.7112, 0.0000)  1 H 3.02
Rb (0.3947, 0.1724, 0.1861)  1 H 2.92
Rb (0.3947, 0.1724, 0.8139)  1 H 2.92
Rb (0.8956, 0.2888, 0.5000)  1 H 3.02
Rb (0.8947, 0.8276, 0.6861)  1 H 2.92
Rb (0.8947, 0.8276, 0.3139)  1 H 2.92
Rb (0.3957, 0.5944, 0.5000)  2 H 2.96
Rb (0.8957, 0.4056, 0.0000)  2 H 2.96
H (0.3960, 0.3862, 0.0000)  5 Rb 2.92-3.02
H (0.8960, 0.6138, 0.5000)  5 Rb 2.92-3.02
Hg (0.8951, 0.0012, 0.0000)  9 Rb 3.75-4.00
Hg (0.3951, 0.9988, 0.5000)  9 Rb 3.75-4.00

Output
The density of states at the Fermi level comes out at 0.517 states/eV/atom. As for the total energy: -15.841 eV/cell. The value obtained for the volume is 315.6 Å³/f.u. Its space group is Pmmn.

---

- Which of these has the lowest volume?
  Mn2CuRh